[1]
BaAl2W: relaxed, PBEsol.

Computed properties:
- Calculated formation energy: 0.8382 eV per atom
- Size of the total moment: 1.03 μB/f.u.

```
data_BaAl2W
_space_group_name_H-M_alt 'P 1'
_space_group_IT_number 1
_space_group_name_Hall 'P 1'
_cell_length_a 5.1528
_cell_length_b 5.1528
_cell_length_c 9.5357
_cell_angle_alpha 105.68
_cell_angle_beta 105.68
_cell_angle_gamma 90.00
loop_
_atom_site_label
_atom_site_fract_x
_atom_site_fract_y
_atom_site_fract_z
_atom_site_occupancy
Ba1 0.5000 0.5000 0.0000 1
W1 0.0000 0.0000 0.0000 1
Al1 0.1250 0.8750 0.2500 1
Ba2 0.7500 0.2500 0.5000 1
Al2 0.1250 0.3750 0.2500 1
W2 0.2500 0.7500 0.5000 1
Al3 0.1250 0.8750 0.7500 1
Al4 0.6250 0.8750 0.7500 1
```

***

[2]
BaAlW: relaxed, PBEsol.

Computed properties:
- Calculated formation energy: 0.7653 eV per atom
- Size of the total moment: 0.00 μB/f.u.

```
data_BaAlW
_space_group_name_H-M_alt 'P 1'
_space_group_IT_number 1
_space_group_name_Hall 'P 1'
_cell_length_a 2.9702
_cell_length_b 2.9702
_cell_length_c 7.7713
_cell_angle_alpha 100.26
_cell_angle_beta 100.26
_cell_angle_gamma 93.89
loop_
_atom_site_label
_atom_site_fract_x
_atom_site_fract_y
_atom_site_fract_z
_atom_site_occupancy
Ba1 0.3326 0.3326 0.6652 1
W1 0.6439 0.6439 0.2878 1
Al1 0.0235 0.0235 0.0470 1
```

***

[3]
BaAl3W: relaxed, PBEsol.

Computed properties:
- Calculated formation energy: 2.6728 eV per atom
- Size of the total moment: 4.16 μB/f.u.

```
data_BaAl3W
_space_group_name_H-M_alt 'P 1'
_space_group_IT_number 1
_space_group_name_Hall 'P 1'
_cell_length_a 5.3472
_cell_length_b 5.3472
_cell_length_c 5.3472
_cell_angle_alpha 90.00
_cell_angle_beta 90.00
_cell_angle_gamma 90.00
loop_
_atom_site_label
_atom_site_fract_x
_atom_site_fract_y
_atom_site_fract_z
_atom_site_occupancy
Al1 0.0000 0.0000 0.5000 1
Ba1 0.0000 0.0000 0.0000 1
Al2 0.5000 0.0000 0.0000 1
W1 0.5000 0.5000 0.5000 1
Al3 0.0000 0.5000 0.0000 1
```

***

[4]
BaAl4W: relaxed, PBEsol.

Computed properties:
- Calculated formation energy: 0.3693 eV per atom
- Size of the total moment: 0.00 μB/f.u.

```
data_BaAl4W
_space_group_name_H-M_alt 'P 1'
_space_group_IT_number 1
_space_group_name_Hall 'P 1'
_cell_length_a 5.4521
_cell_length_b 5.4521
_cell_length_c 5.4521
_cell_angle_alpha 60.00
_cell_angle_beta 60.00
_cell_angle_gamma 60.00
loop_
_atom_site_label
_atom_site_fract_x
_atom_site_fract_y
_atom_site_fract_z
_atom_site_occupancy
W1 0.0000 0.0000 0.0000 1
Ba1 0.7500 0.7500 0.7500 1
Al1 0.3739 0.3739 0.3739 1
Al2 0.3739 0.3739 0.8782 1
Al3 0.8782 0.3739 0.3739 1
Al4 0.3739 0.8782 0.3739 1
```

***

| no. | total DFT energy (no corrections) (eV/atom) |
| --- | --- |
| 1 | -5.197 |
| 2 | -5.917 |
| 3 | -2.973 |
| 4 | -5.018 |